Density functional theory data (GGA-PBE) for crystalline Pr2TlSe at its relaxed geometry.

a = 4.095 Å, b = 4.095 Å, c = 25.511 Å
α = 90.00°, β = 90.00°, γ = 120.00°
Fractional positions:
Pr 0.000 0.000 0.000
Pr 0.000 0.000 0.192
Pr 0.333 0.667 0.667
Pr 0.333 0.667 0.858
Pr 0.667 0.333 0.333
Pr 0.667 0.333 0.525
Tl 0.000 0.000 0.429
Tl 0.333 0.667 0.095
Tl 0.667 0.333 0.762
Se 0.000 0.000 0.597
Se 0.333 0.667 0.263
Se 0.667 0.333 0.930

## Properties
As for the space group: R3m, No. 160. The energy above the lowest structure with this stoichiometry comes out at 0.26 eV per formula unit. The value obtained for the uncorrected formation energy is -1025 meV per atom. The total magnetic moment comes out at 0.0 Bohr magnetons per cell. The density of states at the Fermi level comes out at 4.5 states/eV/f.u.